DFT (GGA-PBE) results for an optimized crystal structure of PuTcO6.

Properties
- SG = C2/m
- offset from the most stable computed form (meV/atom) = 0.0
- total energy (eV per cell) = -68.92
- ΔE_f (raw) (meV per atom) = -1809

abc: 5.532 5.532 5.553
angles: 60.22 60.22 61.08
Last column: magnetic moment on the atom in μB.
Fractional coordinates of all 8 atoms:
Pu 0.500 0.500 0.500  2.65
Tc 0.000 0.000 0.000  0.75
O 0.753 0.753 0.309  -0.10
O 0.269 0.793 0.206  -0.07
O 0.247 0.247 0.691  -0.10
O 0.207 0.731 0.794  -0.06
O 0.731 0.207 0.794  -0.06
O 0.793 0.269 0.206  -0.07